Below is crystalline MgCdPb2 at its relaxed geometry, with properties calculated at the PBEsol level.

Values from the calculation:
Calculated volume = 103 Å³/cell
DFT formation energy = -0.013 eV per atom
Space group = Pmm2, No. 25
Energy above the most stable polymorph in this dataset = 0.060 eV per formula unit

Geometry as POSCAR:
```
MgCdPb2
1.0
3.315 0.000 0.000
0.000 4.314 0.000
0.000 0.000 7.213
Mg Cd Pb
1 1 2
Direct
0.000 0.000 0.000 Mg
0.500 0.500 0.792 Cd
0.000 0.000 0.541 Pb
0.500 0.500 0.244 Pb
```